Computed, not measured: an optimized crystal structure of Tb4Ho4Er at the PBE level of DFT.

a b c (Å): 5.484 8.720 8.921
angles (deg): 45.03 72.00 71.56
Positions (direct):
1 Ho 0.927 0.764 0.385
2 Er 0.500 0.000 0.000
3 Ho 0.073 0.236 0.615
4 Tb 0.132 0.702 0.033
5 Tb 0.868 0.298 0.967
6 Ho 0.366 0.570 0.700
7 Tb 0.282 0.146 0.291
8 Ho 0.634 0.430 0.300
9 Tb 0.718 0.854 0.709

Computed properties:
Relative energy among the computed polymorphs: 8.5 kJ/mol of atoms
Energy: -4.492 eV per atom
Mass density: 8.55 Mg/m³
ΔE_f: 0.108 eV/atom
Total moment: 0.000 μB/atom
DOS(E_F): 15.071 states/eV per cell